1.
# PBE RuPt, relaxed
# - Uncorrected energy: -120.54 eV per cell
# - Crystal system: orthorhombic
# - Spin magnetization: 0.000 μB per atom
data_RuPt
_symmetry_space_group_name_H-M 'P 21 21 21'
_symmetry_Int_Tables_number 19
_cell_length_a 4.7817
_cell_length_b 5.4752
_cell_length_c 9.1237
_cell_angle_alpha 90.00
_cell_angle_beta 90.00
_cell_angle_gamma 90.00
loop_
_symmetry_equiv_pos_as_xyz
'x,y,z'
'-x+1/2,-y,z+1/2'
'x+1/2,-y+1/2,-z'
'-x,y+1/2,-z+1/2'
loop_
_atom_site_label
_atom_site_type_symbol
_atom_site_fract_x
_atom_site_fract_y
_atom_site_fract_z
Ru1 Ru 0.1555 0.0114 0.3734
Ru2 Ru 0.1556 0.2527 0.6252
Pt1 Pt 0.1510 0.5005 0.3705
Pt2 Pt 0.1524 0.7518 0.6273

---

2.
# PBE EuDyCuS3, relaxed
# - Uncorrected energy: -165.76 eV per cell
# - Crystal system: orthorhombic
# - E_form (uncorrected): -1.68 eV/atom
# - Spin magnetization: 1.165 μB per atom
data_EuDyCuS3
_symmetry_space_group_name_H-M 'P n m a'
_symmetry_Int_Tables_number 62
_cell_length_a 10.2683
_cell_length_b 3.9055
_cell_length_c 12.8212
_cell_angle_alpha 90.00
_cell_angle_beta 90.00
_cell_angle_gamma 90.00
loop_
_symmetry_equiv_pos_as_xyz
'x,y,z'
'-x,-y,-z'
'-x+1/2,-y,z+1/2'
'x+1/2,y,-z+1/2'
'x+1/2,-y+1/2,-z+1/2'
'-x+1/2,y+1/2,z+1/2'
'-x,y+1/2,-z'
'x,-y+1/2,z'
loop_
_atom_site_label
_atom_site_type_symbol
_atom_site_fract_x
_atom_site_fract_y
_atom_site_fract_z
Eu1 Eu 0.2177 0.2500 0.9996
Dy1 Dy 0.0223 0.7500 0.2598
Cu1 Cu 0.2299 0.7500 0.7739
S1 S 0.0472 0.7500 0.8826
S2 S 0.1001 0.2500 0.3937
S3 S 0.2332 0.2500 0.6690

---

3.
# PBE TbSi2Ir4, relaxed
# - Uncorrected energy: -111.67 eV per cell
# - ΔE to the lowest computed polymorph: 0.65 eV/f.u.
# - Crystal system: orthorhombic
# - E_form (uncorrected): -0.70 eV/atom
# - Spin magnetization: 0.000 μB per atom
data_TbSi2Ir4
_symmetry_space_group_name_H-M 'C m m m'
_symmetry_Int_Tables_number 65
_symmetry_space_group_name_Hall '-C 2 2'
_cell_length_a 4.0792
_cell_length_b 13.7378
_cell_length_c 4.0213
_cell_angle_alpha 90.00
_cell_angle_beta 90.00
_cell_angle_gamma 90.00
loop_
_atom_site_label
_atom_site_type_symbol
_atom_site_fract_x
_atom_site_fract_y
_atom_site_fract_z
Tb1 Tb 0.0000 0.0000 0.0000
Si1 Si 0.0000 0.4118 0.5000
Ir1 Ir 0.0000 0.1752 0.5000
Ir2 Ir 0.0000 0.3193 0.0000

---

The highest spin magnetization belongs to which entry?
EuDyCuS3